Density functional theory data (PBE-GGA) for a relaxed RbHf3Tl crystal.

The structure in POSCAR format:
```
RbHf3Tl
1.0
-3.761 -3.018 1.649
2.016 0.045 4.680
-2.786 4.107 1.161
Tl Hf Rb
1 3 1
Cartesian
-2.265 0.567 3.745
1.008 0.023 2.340
-1.881 -1.509 0.825
-1.393 2.053 0.580
0.000 0.000 0.000
```

- ΔE_f: 2.26 eV per atom
- Size of the total moment: 0.34 μB per atom